No. 1
Tl2ZnFe PBEsol relaxed; SG = No. 166; energy relative to the elements = 2.001 eV per formula unit
1.0
-2.4301 1.2229 -1.6647
-2.8230 0.4668 1.4087
0.7416 8.6628 2.2261
Fe Tl Zn
1 2 1
Direct
0.0000 0.0000 0.0000
0.2533 0.2533 0.2402
0.7467 0.7467 0.7598
0.5000 0.5000 0.5000

No. 2
ZrTlFe PBEsol relaxed; SG = No. 216; energy relative to the elements = 0.894 eV per formula unit
1.0
4.3728 0.0000 0.0000
2.1864 3.7869 0.0000
2.1864 1.2623 3.5704
Fe Tl Zr
1 1 1
Direct
0.2500 0.2500 0.2500
0.0000 0.0000 0.0000
0.5000 0.5000 0.5000

Copy entry 2 word for word.
ZrTlFe PBEsol relaxed; SG = No. 216; energy relative to the elements = 0.894 eV per formula unit
1.0
4.3728 0.0000 0.0000
2.1864 3.7869 0.0000
2.1864 1.2623 3.5704
Fe Tl Zr
1 1 1
Direct
0.2500 0.2500 0.2500
0.0000 0.0000 0.0000
0.5000 0.5000 0.5000

Among the records above, which one has the highest energy relative to the elements?
Tl2ZnFe

Please write out number 1 again, unchanged.
Tl2ZnFe PBEsol relaxed; SG = No. 166; energy relative to the elements = 2.001 eV per formula unit
1.0
-2.4301 1.2229 -1.6647
-2.8230 0.4668 1.4087
0.7416 8.6628 2.2261
Fe Tl Zn
1 2 1
Direct
0.0000 0.0000 0.0000
0.2533 0.2533 0.2402
0.7467 0.7467 0.7598
0.5000 0.5000 0.5000

The lowest energy relative to the elements belongs to which entry?
ZrTlFe